# 1
Here is a geometry-optimized Mg5NpN5 structure from the Alexandria database. Energies are from PBE.

Calculated values
DOS(E_F)	1.98	states/eV/f.u.
E_form (uncorrected)	-0.869	eV/atom
final energy	-144.2	eV/cell
calculated volume	271	Å³ per cell

Unit cell a=10.1692 b=4.4678 c=6.2893 alpha=90.00 beta=108.75 gamma=90.00
Closest atoms and distances in Å follow each position.
Space group C2/m (No. 12)
Asymmetric unit:
Mg1 0.0000 0.0000 0.0000 x2  4 N 2.16-2.28
Mg2 0.1746 0.5000 0.3457 x4  5 N 2.21-2.28
Mg3 0.1883 0.5000 0.8346 x4  5 N 2.18-2.35
Np1 0.0000 0.0000 0.5000 x2  6 N 2.15-2.23
N1 0.0000 0.5000 0.5000 x2  2 Np 2.23, 4 Mg 2.28-2.35
N2 0.1532 0.0000 0.3316 x4  1 Np 2.15, 5 Mg 2.16-2.24
N3 0.1649 0.0000 0.8253 x4  5 Mg 2.18-2.28, 1 Np 2.19


# 2
Here is a geometry-optimized Zr2AlCl structure from the Alexandria database. Energies are from PBE.

Calculated values
DOS(E_F)	5.15	states/eV/f.u.
E_form (uncorrected)	0.324	eV/atom
final energy	-85.6	eV/cell
calculated volume	339	Å³ per cell

Unit cell a=6.9694 b=6.9694 c=6.9694 alpha=90.00 beta=90.00 gamma=90.00
Closest atoms and distances in Å follow each position.
Space group F-43m (No. 216)
Asymmetric unit:
Zr1 0.0000 0.0000 0.0000 x4  4 Zr 3.02, 4 Cl 3.02
Zr2 0.2500 0.2500 0.2500 x4  4 Zr 3.02, 4 Al 3.02
Al1 0.0000 0.0000 0.5000 x4  4 Zr 3.02, 4 Cl 3.02
Cl1 0.2500 0.2500 0.7500 x4  4 Zr 3.02, 4 Al 3.02


# 3
Here is a geometry-optimized Er6SbP3Se2 structure from the Alexandria database. Energies are from PBE.

Calculated values
DOS(E_F)	3.78	states/eV/f.u.
E_form (uncorrected)	-1.614	eV/atom
final energy	-148.1	eV/cell
calculated volume	568	Å³ per cell

Unit cell a=17.7673 b=4.0371 c=8.1720 alpha=90.00 beta=104.24 gamma=90.00
Closest atoms and distances in Å follow each position.
Space group C2/m (No. 12)
Asymmetric unit:
Er1 0.0039 0.0000 0.2334 x4  3 P 2.77-2.81, 1 Se 2.98, 2 Sb 2.98
Er2 0.1622 0.5000 0.0953 x4  3 P 2.78-2.79, 3 Se 2.92-2.95
Er3 0.1734 0.5000 0.5725 x4  3 P 2.75-2.80, 2 Se 2.97, 1 Sb 2.99
Sb1 0.0000 0.5000 0.5000 x2  6 Er 2.98-2.99
P1 0.0000 0.5000 0.0000 x2  6 Er 2.77-2.79
P2 0.1668 0.0000 0.3314 x4  6 Er 2.75-2.81
Se1 0.1686 0.0000 0.8365 x4  6 Er 2.92-2.98


# 4
Here is a geometry-optimized ZnGaO2F structure from the Alexandria database. Energies are from PBE.

Calculated values
DOS(E_F)	0.87	states/eV/f.u.
E_form (uncorrected)	-1.277	eV/atom
final energy	-22.5	eV/cell
calculated volume	56	Å³ per cell

Unit cell a=3.8604 b=3.8604 c=3.7801 alpha=90.00 beta=90.00 gamma=90.00
Closest atoms and distances in Å follow each position.
Space group P4/mmm (No. 123)
Asymmetric unit:
Zn1 0.0000 0.0000 0.0000 x1  8 O 2.70, 4 F 2.73
Ga1 0.5000 0.5000 0.5000 x1  2 F 1.89, 4 O 1.93
O1 0.0000 0.5000 0.5000 x2  2 Ga 1.93
F1 0.5000 0.5000 0.0000 x1  2 Ga 1.89


# 5
Here is a geometry-optimized Mg4Ag8Hg structure from the Alexandria database. Energies are from PBE.

Calculated values
DOS(E_F)	5.20	states/eV/f.u.
ΔH_f (0 K)	-0.106	eV/atom
final energy	-30.9	eV/cell
calculated volume	253	Å³ per cell

Unit cell a=3.1936 b=4.6794 c=16.9298 alpha=90.00 beta=90.00 gamma=90.00
Closest atoms and distances in Å follow each position.
Space group Pmm2 (No. 25)
Asymmetric unit:
Mg1 0.0000 0.0000 0.0000 x1  8 Ag 2.79-2.86
Mg2 0.0000 0.5000 0.1698 x1  10 Ag 2.89-2.99, 2 Mg 3.19
Mg3 0.5000 0.0000 0.4215 x1  10 Ag 2.86-2.95, 2 Mg 3.19
Mg4 0.5000 0.5000 0.6112 x1  6 Ag 2.95-2.99, 2 Mg 3.19
Ag1 0.0000 0.0000 0.2795 x1  4 Mg 2.89-2.99, 8 Ag 2.89-3.19
Ag2 0.0000 0.0000 0.5618 x1  1 Hg 2.76, 6 Mg 2.86-2.95, 2 Ag 2.89
Ag3 0.0000 0.5000 0.4621 x1  6 Ag 2.89-3.19, 6 Mg 2.91-2.99
Ag4 0.0000 0.5000 0.8775 x1  6 Ag 2.84-2.96, 2 Mg 3.13
Ag5 0.5000 0.0000 0.1371 x1  6 Mg 2.82-2.89, 4 Ag 2.89-3.01
Ag6 0.5000 0.0000 0.8650 x1  2 Mg 2.79, 4 Ag 2.84, 2 Hg 2.86
Ag7 0.5000 0.5000 0.0249 x1  6 Mg 2.86-2.93, 6 Ag 2.96-3.19
Ag8 0.5000 0.5000 0.3153 x1  8 Ag 2.90-3.19, 4 Mg 2.94-2.95
Hg1 0.0000 0.0000 0.7249 x1  3 Ag 2.76-2.86


# 6
Here is a geometry-optimized CeNd2HoP4 structure from the Alexandria database. Energies are from PBE.

Calculated values
DOS(E_F)	5.08	states/eV/f.u.
ΔH_f (0 K)	-1.550	eV/atom
final energy	-54.1	eV/cell
calculated volume	195	Å³ per cell

Unit cell a=7.0870 b=4.1006 c=7.1063 alpha=90.00 beta=109.39 gamma=90.00
Closest atoms and distances in Å follow each position.
Space group P2/m (No. 10)
Asymmetric unit:
Ce1 0.0000 0.0000 0.0000 x1  6 P 2.86-2.87
Nd1 0.0000 0.5000 0.5000 x1  6 P 2.94
Nd2 0.5000 0.0000 0.5000 x1  6 P 2.93-2.94
Ho1 0.5000 0.5000 0.0000 x1  6 P 2.85-2.86
P1 0.2481 0.5000 0.2406 x2  1 Ho 2.85, 2 Ce 2.87, 3 Nd 2.93-2.94
P2 0.2540 0.0000 0.7609 x2  1 Ce 2.86, 2 Ho 2.86, 3 Nd 2.94


# 7
Here is a geometry-optimized YP3Pd3 structure from the Alexandria database. Energies are from PBE.

Calculated values
DOS(E_F)	4.57	states/eV/f.u.
ΔH_f (0 K)	-0.373	eV/atom
final energy	-81.8	eV/cell
calculated volume	279	Å³ per cell

Unit cell a=6.5341 b=6.5341 c=6.5341 alpha=90.00 beta=90.00 gamma=90.00
Closest atoms and distances in Å follow each position.
Space group Pm-3n (No. 223)
Asymmetric unit:
Y1 0.0000 0.0000 0.0000 x2  12 Pd 3.65, 12 P 3.65
P1 0.0000 0.2500 0.5000 x6  4 Pd 2.31
Pd1 0.0000 0.5000 0.2500 x6  4 P 2.31


# 8
Here is a geometry-optimized ThAl4Fe2 structure from the Alexandria database. Energies are from PBE.

Calculated values
DOS(E_F)	4.70	states/eV/f.u.
ΔH_f (0 K)	-0.264	eV/atom
final energy	-82.3	eV/cell
calculated volume	234	Å³ per cell

Unit cell a=4.1183 b=13.7236 c=4.1335 alpha=90.00 beta=90.00 gamma=90.00
Closest atoms and distances in Å follow each position.
Space group Cmmm (No. 65)
Asymmetric unit:
Th1 0.0000 0.0000 0.0000 x2  8 Fe 3.11, 8 Al 3.20-3.23
Al1 0.0000 0.1808 0.5000 x4  2 Fe 2.49
Al2 0.0000 0.3218 0.0000 x4  2 Fe 2.48
Fe1 0.0000 0.4215 0.5000 x4  1 Fe 2.15


# 9
Here is a geometry-optimized Sr2AlIn3Hg4 structure from the Alexandria database. Energies are from PBE.

Calculated values
DOS(E_F)	5.39	states/eV/f.u.
ΔH_f (0 K)	-0.270	eV/atom
final energy	-19.2	eV/cell
calculated volume	277	Å³ per cell

Unit cell a=4.8130 b=4.8130 c=11.9453 alpha=90.00 beta=90.00 gamma=90.00
Closest atoms and distances in Å follow each position.
Space group P-4m2 (No. 115)
Asymmetric unit:
Sr1 0.0000 0.5000 0.2471 x2  6 In 3.67-3.81, 8 Hg 3.69-3.86, 2 Al 3.81
Al1 0.5000 0.5000 0.0000 x1  4 Hg 2.85
In1 0.0000 0.0000 0.0000 x1  4 Hg 2.85
In2 0.0000 0.5000 0.6380 x2  5 Hg 2.79-2.92
Hg1 0.0000 0.0000 0.5000 x1  4 In 2.92
Hg2 0.0000 0.5000 0.8715 x2  3 In 2.79-2.85, 2 Al 2.85
Hg3 0.5000 0.5000 0.5000 x1  4 In 2.92


# 10
Here is a geometry-optimized PrZn3P3 structure from the Alexandria database. Energies are from PBE.

Calculated values
ΔH_f (0 K)	-0.542	eV/atom
final energy	-57.3	eV/cell
calculated volume	319	Å³ per cell

Unit cell a=9.6461 b=9.6461 c=3.9604 alpha=90.00 beta=90.00 gamma=120.00
Closest atoms and distances in Å follow each position.
Space group P6_3/m (No. 176)
Asymmetric unit:
Pr1 0.3333 0.6667 0.2500 x2  6 P 3.01
Zn1 0.0410 0.3681 0.7500 x6  3 P 2.36
P1 0.1124 0.6924 0.7500 x6  3 Zn 2.36


# 11
Here is a geometry-optimized Tl4Cr structure from the Alexandria database. Energies are from PBE.

Calculated values
DOS(E_F)	2.99	states/eV/f.u.
ΔH_f (0 K)	0.317	eV/atom
final energy	-35.0	eV/cell
calculated volume	270	Å³ per cell

Unit cell a=8.8176 b=8.8176 c=3.4681 alpha=90.00 beta=90.00 gamma=90.00
Closest atoms and distances in Å follow each position.
Space group I4/m (No. 87)
Asymmetric unit:
Tl1 0.0722 0.2764 0.0000 x8  2 Cr 3.06, 4 Tl 3.40
Cr1 0.0000 0.0000 0.5000 x2  8 Tl 3.06


# 12
Here is a geometry-optimized Tc2Ru3 structure from the Alexandria database. Energies are from PBE.

Calculated values
DOS(E_F)	5.10	states/eV/f.u.
ΔH_f (0 K)	0.564	eV/atom
final energy	-45.7	eV/cell
calculated volume	80	Å³ per cell

Unit cell a=4.1578 b=4.1578 c=5.3139 alpha=90.00 beta=90.00 gamma=120.00
Closest atoms and distances in Å follow each position.
Space group P-3m1 (No. 164)
Asymmetric unit:
Tc1 0.3333 0.6667 0.3393 x2  8 Ru 2.53-2.78
Ru1 0.0000 0.0000 0.5000 x1  6 Tc 2.55
Ru2 0.3333 0.6667 0.8631 x2  5 Tc 2.53-2.78, 3 Ru 2.81